This record from Alexandria via LeMat-Bulk describes a relaxed Li3MnO2F crystal. The functional is PBE with a Hubbard U.

Values from the calculation:
Energy relative to the lowest polymorph listed for this composition: 0.0 meV/atom
Spin magnetization: 5.00 μB/f.u.

Geometry as CIF:
```
data_Li3MnO2F
_chemical_formula_sum 'Li12 Mn4 O8 F4'
_cell_length_a 9.0306
_cell_length_b 9.9735
_cell_length_c 3.5277
_cell_angle_alpha 90.00
_cell_angle_beta 90.00
_cell_angle_gamma 90.00
_symmetry_space_group_name_H-M 'P n n m'
_symmetry_Int_Tables_number 58
loop_
_symmetry_equiv_pos_as_xyz
'x,y,z'
'-x,-y,-z'
'-x,-y,z'
'x,y,-z'
'x+1/2,-y+1/2,-z+1/2'
'-x+1/2,y+1/2,z+1/2'
'-x+1/2,y+1/2,-z+1/2'
'x+1/2,-y+1/2,z+1/2'
loop_
_atom_site_label
_atom_site_fract_x
_atom_site_fract_y
_atom_site_fract_z
Li1 0.0946 0.1607 0.0000
Li2 0.1520 0.9309 0.5000
Li3 0.1696 0.3202 0.5000
Mn1 0.1152 0.6015 0.0000
O1 0.1059 0.3836 0.0000
O2 0.1705 0.1234 0.5000
F1 0.1173 0.8556 0.0000
```